1.
VASP calculation (PBE) on an optimized crystal structure of Ni3H12Ru5.

a b c (Å): 9.0538 9.0538 9.0538
angles (deg): 109.47 109.47 109.47
Element x y z (fractional)
Ni 0.1250 0.2500 0.3750
Ni 0.1250 0.3750 0.7500
Ni 0.2500 0.3750 0.1250
Ni 0.2500 0.8750 0.6250
Ni 0.3750 0.1250 0.2500
Ni 0.3750 0.7500 0.1250
Ni 0.6250 0.2500 0.8750
Ni 0.6250 0.8750 0.7500
Ni 0.7500 0.1250 0.3750
Ni 0.7500 0.6250 0.8750
Ni 0.8750 0.6250 0.2500
Ni 0.8750 0.7500 0.6250
H 0.0643 0.2307 0.1412
H 0.0643 0.3336 0.9231
H 0.0769 0.6412 0.4105
H 0.0769 0.9357 0.6664
H 0.0895 0.7307 0.6664
H 0.0895 0.8588 0.4231
H 0.1412 0.0643 0.2307
H 0.1412 0.5769 0.9105
H 0.1664 0.2307 0.5895
H 0.1664 0.4357 0.5769
H 0.2307 0.1412 0.0643
H 0.2307 0.5895 0.1664
H 0.2693 0.3336 0.9105
H 0.2693 0.4357 0.3588
H 0.3336 0.9105 0.2693
H 0.3336 0.9231 0.0643
H 0.3588 0.2693 0.4357
H 0.3588 0.5895 0.9231
H 0.4105 0.0769 0.6412
H 0.4105 0.8336 0.7693
H 0.4231 0.0895 0.8588
H 0.4231 0.8336 0.5643
H 0.4357 0.3588 0.2693
H 0.4357 0.5769 0.1664
H 0.5643 0.4231 0.8336
H 0.5643 0.6412 0.7307
H 0.5769 0.1664 0.4357
H 0.5769 0.9105 0.1412
H 0.5895 0.1664 0.2307
H 0.5895 0.9231 0.3588
H 0.6412 0.4105 0.0769
H 0.6412 0.7307 0.5643
H 0.6664 0.0769 0.9357
H 0.6664 0.0895 0.7307
H 0.7307 0.5643 0.6412
H 0.7307 0.6664 0.0895
H 0.7693 0.4105 0.8336
H 0.7693 0.8588 0.9357
H 0.8336 0.5643 0.4231
H 0.8336 0.7693 0.4105
H 0.8588 0.4231 0.0895
H 0.8588 0.9357 0.7693
H 0.9105 0.1412 0.5769
H 0.9105 0.2693 0.3336
H 0.9231 0.0643 0.3336
H 0.9231 0.3588 0.5895
H 0.9357 0.6664 0.0769
H 0.9357 0.7693 0.8588
Ru 0.0000 0.0000 0.0000
Ru 0.0000 0.0000 0.5000
Ru 0.0000 0.5000 0.0000
Ru 0.0000 0.5000 0.5000
Ru 0.1250 0.7500 0.8750
Ru 0.1250 0.8750 0.2500
Ru 0.2500 0.1250 0.8750
Ru 0.2500 0.6250 0.3750
Ru 0.3750 0.2500 0.6250
Ru 0.3750 0.6250 0.7500
Ru 0.5000 0.0000 0.0000
Ru 0.5000 0.0000 0.5000
Ru 0.5000 0.5000 0.0000
Ru 0.5000 0.5000 0.5000
Ru 0.6250 0.3750 0.2500
Ru 0.6250 0.7500 0.3750
Ru 0.7500 0.3750 0.6250
Ru 0.7500 0.8750 0.1250
Ru 0.8750 0.1250 0.7500
Ru 0.8750 0.2500 0.1250

## Properties
Uncorrected energy (eV per formula unit): -99.3
Space group: No. 230



2.
VASP calculation (PBE) on an optimized crystal structure of Li2Ac3Pm2Tl4.

a b c (Å): 5.2127 5.2127 15.4809
angles (deg): 90.00 90.00 120.00
Element x y z (fractional)
Li 0.3333 0.6667 0.1312
Li 0.6667 0.3333 0.8688
Ac 0.0000 0.0000 0.0000
Ac 0.0000 0.0000 0.2486
Ac 0.0000 0.0000 0.7514
Pm 0.3333 0.6667 0.5738
Pm 0.6667 0.3333 0.4262
Tl 0.3333 0.6667 0.3609
Tl 0.3333 0.6667 0.8732
Tl 0.6667 0.3333 0.1268
Tl 0.6667 0.3333 0.6391

## Properties
ΔH_f (0 K) (eV per formula unit): -2.07
Space group: No. 164



3.
VASP calculation (PBE) on an optimized crystal structure of Zr2NiTe.

a b c (Å): 3.5646 3.5646 6.2476
angles (deg): 90.00 90.00 90.00
Element x y z (fractional)
Zr 0.0000 0.0000 0.2317
Zr 0.0000 0.0000 0.7683
Ni 0.5000 0.5000 0.0000
Te 0.5000 0.5000 0.5000

## Properties
Space group: No. 123
Formation energy without anion corrections (eV/atom): -0.3594



4.
VASP calculation (PBE) on an optimized crystal structure of Ba2AgP3Pd12.

a b c (Å): 7.5622 7.5622 7.5622
angles (deg): 70.78 70.78 70.78
Element x y z (fractional)
Ba 0.1078 0.1078 0.1078
Ba 0.8922 0.8922 0.8922
Ag 0.5000 0.5000 0.5000
P 0.0000 0.5000 0.5000
P 0.5000 0.0000 0.5000
P 0.5000 0.5000 0.0000
Pd 0.1252 0.6351 0.6351
Pd 0.2186 0.2186 0.6179
Pd 0.2186 0.6179 0.2186
Pd 0.3649 0.3649 0.8748
Pd 0.3649 0.8748 0.3649
Pd 0.3821 0.7814 0.7814
Pd 0.6179 0.2186 0.2186
Pd 0.6351 0.1252 0.6351
Pd 0.6351 0.6351 0.1252
Pd 0.7814 0.3821 0.7814
Pd 0.7814 0.7814 0.3821
Pd 0.8748 0.3649 0.3649

## Properties
ΔH_f (0 K) (eV per formula unit): -5.03
Space group: No. 166



5.
VASP calculation (PBE) on an optimized crystal structure of Cu3SiB.

a b c (Å): 3.9879 3.9879 3.9879
angles (deg): 90.00 90.00 90.00
Element x y z (fractional)
Cu 0.0000 0.0000 0.5000
Cu 0.0000 0.5000 0.0000
Cu 0.5000 0.0000 0.0000
Si 0.5000 0.5000 0.5000
B 0.0000 0.0000 0.0000

## Properties
Relative energy among the computed polymorphs (meV/atom): 0
Space group: No. 221
Formation energy without anion corrections (eV/atom): 0.4040



6.
VASP calculation (PBE) on an optimized crystal structure of Dy7Y4Mg.

a b c (Å): 6.6458 6.6458 12.6179
angles (deg): 114.03 114.03 51.92
Element x y z (fractional)
Dy 0.0000 0.0000 0.0000
Dy 0.1334 0.1334 0.4815
Dy 0.2979 0.2979 0.0755
Dy 0.4079 0.4079 0.7205
Dy 0.5921 0.5921 0.2795
Dy 0.7021 0.7021 0.9245
Dy 0.8666 0.8666 0.5185
Y 0.1305 0.1305 0.7729
Y 0.3346 0.3346 0.3628
Y 0.6654 0.6654 0.6372
Y 0.8695 0.8695 0.2271
Mg 0.5000 0.5000 0.0000

## Properties
Relative energy among the computed polymorphs (meV/atom): 244
ΔH_f (0 K) (eV per formula unit): 3.20
Space group: No. 12



7.
VASP calculation (PBE) on an optimized crystal structure of RbZr2Ru.

a b c (Å): 4.9675 4.9675 4.9675
angles (deg): 60.00 60.00 60.00
Element x y z (fractional)
Rb 0.0000 0.0000 0.0000
Zr 0.2500 0.2500 0.2500
Zr 0.7500 0.7500 0.7500
Ru 0.5000 0.5000 0.5000

## Properties
Relative energy among the computed polymorphs (meV/atom): 0
ΔH_f (0 K) (eV per formula unit): 3.44
Space group: No. 225



8.
VASP calculation (PBE) on an optimized crystal structure of CeAsS.

a b c (Å): 5.4913 5.4913 5.4913
angles (deg): 138.64 138.64 59.93
Element x y z (fractional)
Ce 0.0000 0.0000 0.0000
As 0.6331 0.6331 0.0000
S 0.3863 0.3863 0.0000

## Properties
Space group: No. 107
Formation energy without anion corrections (eV/atom): -1.1002



9.
VASP calculation (PBE) on an optimized crystal structure of CePmCoOs.

a b c (Å): 4.8880 4.8880 4.8880
angles (deg): 60.00 60.00 60.00
Element x y z (fractional)
Ce 0.0000 0.0000 0.0000
Pm 0.5000 0.5000 0.5000
Co 0.7500 0.7500 0.7500
Os 0.2500 0.2500 0.2500

## Properties
ΔH_f (0 K) (eV per formula unit): -0.15
Space group: No. 216



10.
VASP calculation (PBE) on an optimized crystal structure of Sc2ZnPd.

a b c (Å): 9.8118 9.8118 9.8118
angles (deg): 19.34 19.34 19.34
Element x y z (fractional)
Sc 0.0998 0.0998 0.0998
Sc 0.9002 0.9002 0.9002
Zn 0.0000 0.0000 0.0000
Pd 0.5000 0.5000 0.5000

## Properties
ΔH_f (0 K) (eV per formula unit): -0.07
Space group: No. 166



11.
VASP calculation (PBE) on an optimized crystal structure of Th2Ni4P3Rh.

a b c (Å): 3.9249 3.9249 10.0114
angles (deg): 90.00 90.00 90.00
Element x y z (fractional)
Th 0.0000 0.5000 0.2492
Th 0.5000 0.0000 0.7508
Ni 0.0000 0.0000 0.0000
Ni 0.0000 0.5000 0.6567
Ni 0.5000 0.0000 0.3433
Ni 0.5000 0.5000 0.0000
P 0.0000 0.5000 0.8790
P 0.5000 0.0000 0.1210
P 0.5000 0.5000 0.5000
Rh 0.0000 0.0000 0.5000

## Properties
ΔH_f (0 K) (eV per formula unit): -8.96
Space group: No. 115



12.
VASP calculation (PBE) on an optimized crystal structure of HfMn.

a b c (Å): 4.1230 4.1230 4.1230
angles (deg): 60.00 60.00 60.00
Element x y z (fractional)
Hf 0.0000 0.0000 0.0000
Mn 0.2500 0.2500 0.2500

## Properties
ΔH_f (0 K) (eV per formula unit): 3.63
Space group: No. 216